The following is a DFT calculation (PBEsol) of an optimized crystal structure of ScTiFeRe2.

Values from the calculation:
Volume (Å³ per cell): 92
Formation energy from the elements (eV/atom): 1.68
M_tot (μB/atom): 0.5384

a b c (Å): 4.512 4.512 4.495
angles (deg): 90.00 90.00 90.00
Fractional coordinates of all 5 atoms:
Ti 0.000 0.000 0.000
Re 0.000 0.500 0.000
Re 0.500 0.000 0.000
Fe 0.500 0.500 0.500
Sc 0.000 0.000 0.500